# 1
VASP calculation (PBE-GGA) on a relaxed In2GeNF crystal.

Raw formation energy   0.68 eV per atom
Fermi-level density of states   2.65 states/eV per cell
Spin magnetization   0.00 μB per cell

```
data_In2GeNF
_chemical_formula_sum 'In2 Ge1 N1 F1'
_cell_length_a 4.918
_cell_length_b 4.918
_cell_length_c 4.423
_cell_angle_alpha 90.00
_cell_angle_beta 90.00
_cell_angle_gamma 90.00
_space_group_name_H-M_alt 'P 4/m m m'
_space_group_IT_number 123
_space_group_name_Hall '-P 4 2'
loop_
_atom_site_label
_atom_site_fract_x
_atom_site_fract_y
_atom_site_fract_z
In1 0.000 0.500 0.000
Ge1 0.000 0.000 0.500
N1 0.500 0.500 0.500
F1 0.000 0.000 0.000
```

# 2
VASP calculation (PBE-GGA) on a relaxed Na4Hf3Te8Pd crystal.

Raw formation energy   -0.76 eV per atom
Fermi-level density of states   19.19 states/eV per cell
Spin magnetization   0.00 μB per cell

```
data_Na4Hf3Te8Pd
_chemical_formula_sum 'Na8 Hf6 Te16 Pd2'
_cell_length_a 14.401
_cell_length_b 8.312
_cell_length_c 8.978
_cell_angle_alpha 90.00
_cell_angle_beta 122.37
_cell_angle_gamma 90.00
_space_group_name_H-M_alt 'C 1 2/m 1'
_space_group_IT_number 12
_space_group_name_Hall '-C 2y'
loop_
_atom_site_label
_atom_site_fract_x
_atom_site_fract_y
_atom_site_fract_z
Na1 0.000 0.000 0.000
Na2 0.000 0.500 0.000
Na3 0.250 0.250 0.000
Hf1 0.000 0.000 0.500
Hf2 0.250 0.250 0.500
Te1 0.011 0.253 0.287
Te2 0.236 0.500 0.713
Te3 0.241 0.000 0.723
Pd1 0.000 0.500 0.500
```

# 3
VASP calculation (PBE-GGA) on a relaxed HfB crystal.

Energy relative to the elements   0.3 eV per formula unit
Fermi-level density of states   9.23 states/eV per cell
Spin magnetization   0.00 μB per cell

```
data_HfB
_chemical_formula_sum 'Hf6 B6'
_cell_length_a 6.9633
_cell_length_b 6.9633
_cell_length_c 4.8390
_cell_angle_alpha 90.00
_cell_angle_beta 90.00
_cell_angle_gamma 120.00
_space_group_name_H-M_alt 'P 63/m'
_space_group_IT_number 176
_space_group_name_Hall '-P 6c'
loop_
_atom_site_label
_atom_site_fract_x
_atom_site_fract_y
_atom_site_fract_z
Hf1 0.0417 0.6822 0.2500
B1 0.0318 0.6836 0.7500
```

# 4
VASP calculation (PBE-GGA) on a relaxed Ta2SnPPb crystal.

Energy relative to the elements   10.2 eV per formula unit
Fermi-level density of states   5.49 states/eV per cell
Spin magnetization   0.00 μB per cell

```
data_Ta2SnPPb
_chemical_formula_sum 'Ta2 Sn1 P1 Pb1'
_cell_length_a 5.274
_cell_length_b 5.274
_cell_length_c 4.938
_cell_angle_alpha 90.00
_cell_angle_beta 90.00
_cell_angle_gamma 90.00
_space_group_name_H-M_alt 'P 4/m m m'
_space_group_IT_number 123
_space_group_name_Hall '-P 4 2'
loop_
_atom_site_label
_atom_site_fract_x
_atom_site_fract_y
_atom_site_fract_z
Ta1 0.000 0.500 0.000
Sn1 0.000 0.000 0.500
P1 0.500 0.500 0.500
Pb1 0.500 0.500 0.000
```

# 5
VASP calculation (PBE-GGA) on a relaxed POs crystal.

Energy relative to the elements   -0.2 eV per formula unit
Fermi-level density of states   7.56 states/eV per cell
Spin magnetization   0.00 μB per cell

```
data_POs
_chemical_formula_sum 'P16 Os16'
_cell_length_a 6.570
_cell_length_b 9.367
_cell_length_c 11.465
_cell_angle_alpha 90.00
_cell_angle_beta 90.00
_cell_angle_gamma 90.00
_space_group_name_H-M_alt 'F d d d'
_space_group_IT_number 70
loop_
_space_group_symop_operation_xyz
'x,y,z'
'-x,-y,-z'
'-x+1/4,-y+1/4,z'
'x+1/4,y+1/4,-z'
'x,-y+1/4,-z+1/4'
'-x,y+1/4,z+1/4'
'-x+1/4,y,-z+1/4'
'x+1/4,-y,z+1/4'
'x,y+1/2,z+1/2'
'-x,-y+1/2,-z+1/2'
'-x+1/4,-y+3/4,z+1/2'
'x+1/4,y+3/4,-z+1/2'
'x,-y+3/4,-z+3/4'
'-x,y+3/4,z+3/4'
'-x+1/4,y+1/2,-z+3/4'
'x+1/4,-y+1/2,z+3/4'
'x+1/2,y,z+1/2'
'-x+1/2,-y,-z+1/2'
'-x+3/4,-y+1/4,z+1/2'
'x+3/4,y+1/4,-z+1/2'
'x+1/2,-y+1/4,-z+3/4'
'-x+1/2,y+1/4,z+3/4'
'-x+3/4,y,-z+3/4'
'x+3/4,-y,z+3/4'
'x+1/2,y+1/2,z'
'-x+1/2,-y+1/2,-z'
'-x+3/4,-y+3/4,z'
'x+3/4,y+3/4,-z'
'x+1/2,-y+3/4,-z+1/4'
'-x+1/2,y+3/4,z+1/4'
'-x+3/4,y+1/2,-z+1/4'
'x+3/4,-y+1/2,z+1/4'
loop_
_atom_site_label
_atom_site_fract_x
_atom_site_fract_y
_atom_site_fract_z
P1 0.125 0.319 0.125
Os1 0.125 0.125 0.251
```

# 6
VASP calculation (PBE-GGA) on a relaxed Pm4Sm2Th crystal.

Excess energy over the best structure of this formula in the dataset   44 meV per atom
Energy relative to the elements   0.6 eV per formula unit
Fermi-level density of states   28.35 states/eV per cell
Spin magnetization   0.00 μB per cell

```
data_Pm4Sm2Th
_chemical_formula_sum 'Pm12 Sm6 Th3'
_cell_length_a 3.6064
_cell_length_b 3.6064
_cell_length_c 64.3498
_cell_angle_alpha 90.00
_cell_angle_beta 90.00
_cell_angle_gamma 120.00
_space_group_name_H-M_alt 'R -3 m'
_space_group_IT_number 166
_space_group_name_Hall '-R 3 2"'
loop_
_atom_site_label
_atom_site_fract_x
_atom_site_fract_y
_atom_site_fract_z
Pm1 0.0000 0.0000 0.1423
Pm2 0.0000 0.0000 0.2894
Sm1 0.0000 0.0000 0.2356
Th1 0.0000 0.0000 0.0000
```

# 7
VASP calculation (PBE-GGA) on a relaxed Na2GaGeTe crystal.

Raw formation energy   0.11 eV per atom
Fermi-level density of states   4.16 states/eV per cell
Spin magnetization   0.00 μB per cell

```
data_Na2GaGeTe
_chemical_formula_sum 'Na2 Ga1 Ge1 Te1'
_cell_length_a 5.558
_cell_length_b 5.558
_cell_length_c 4.832
_cell_angle_alpha 90.00
_cell_angle_beta 90.00
_cell_angle_gamma 90.00
_space_group_name_H-M_alt 'P 4/m m m'
_space_group_IT_number 123
_space_group_name_Hall '-P 4 2'
loop_
_atom_site_label
_atom_site_fract_x
_atom_site_fract_y
_atom_site_fract_z
Na1 0.000 0.500 0.000
Ga1 0.000 0.000 0.000
Ge1 0.000 0.000 0.500
Te1 0.500 0.500 0.500
```